# KAgBr3

An optimized crystal structure of KAgBr3 (GGA-PBE, Alexandria). Values from VASP.

Geometry as Quantum ESPRESSO input:
```
&SYSTEM
  ibrav = 0, nat = 10, ntyp = 3
/
ATOMIC_SPECIES
K 39.10 K.upf
Ag 107.87 Ag.upf
Br 79.90 Br.upf
ATOMIC_POSITIONS angstrom
K 0.000 0.000 0.000
K 3.876 7.419 5.234
Ag 2.126 3.036 2.984
Ag 4.087 3.355 6.131
Br 1.895 4.654 5.201
Br 4.160 4.543 8.761
Br 3.041 4.316 0.671
Br 4.076 6.307 2.010
Br 6.060 8.791 7.301
Br 4.384 1.494 3.194
CELL_PARAMETERS angstrom
4.467 0.000 0.000
1.812 7.777 0.000
1.962 2.119 9.664
```

As for the symmetry: No. 1. For the density of states at the Fermi level, the calculation gives 0.00 states/eV/cell.



# KAg5Br8

An optimized crystal structure of KAg5Br8 (GGA-PBE, Alexandria). Values from VASP.

Geometry as Quantum ESPRESSO input:
```
&SYSTEM
  ibrav = 0, nat = 14, ntyp = 3
/
ATOMIC_SPECIES
K 39.10 K.upf
Ag 107.87 Ag.upf
Br 79.90 Br.upf
ATOMIC_POSITIONS angstrom
K 0.000 0.000 0.000
Ag 4.524 4.524 4.524
Ag 7.498 7.498 4.524
Ag 7.498 4.524 7.498
Ag 9.016 9.016 9.016
Ag 4.524 7.498 7.498
Br 1.725 1.725 1.725
Br 4.286 4.286 1.725
Br 4.286 1.725 4.286
Br 7.410 4.611 4.611
Br 1.725 4.286 4.286
Br 4.611 7.410 4.611
Br 4.611 4.611 7.410
Br 7.410 7.410 7.410
CELL_PARAMETERS angstrom
0.000 6.011 6.011
6.011 0.000 6.011
6.011 6.011 0.000
```

As for the symmetry: No. 216. For the density of states at the Fermi level, the calculation gives 25.82 states/eV/cell.



# K2Ag3Br5

An optimized crystal structure of K2Ag3Br5 (GGA-PBE, Alexandria). Values from VASP.

Geometry as Quantum ESPRESSO input:
```
&SYSTEM
  ibrav = 0, nat = 10, ntyp = 3
/
ATOMIC_SPECIES
K 39.10 K.upf
Ag 107.87 Ag.upf
Br 79.90 Br.upf
ATOMIC_POSITIONS angstrom
K 1.016 0.000 2.377
K 8.120 0.000 6.820
Ag -2.871 0.000 4.598
Ag 5.091 0.000 1.383
Ag 4.045 0.000 7.814
Br -1.892 0.000 7.411
Br 2.712 0.000 5.267
Br 7.439 0.000 0.000
Br 6.424 0.000 3.929
Br 11.029 0.000 1.785
CELL_PARAMETERS angstrom
7.439 -2.220 0.000
7.439 2.220 0.000
-5.743 0.000 9.197
```

As for the symmetry: No. 12. For the density of states at the Fermi level, the calculation gives 0.00 states/eV/cell.



# K5AgBr4

An optimized crystal structure of K5AgBr4 (GGA-PBE, Alexandria). Values from VASP.

Geometry as Quantum ESPRESSO input:
```
&SYSTEM
  ibrav = 0, nat = 10, ntyp = 3
/
ATOMIC_SPECIES
K 39.10 K.upf
Ag 107.87 Ag.upf
Br 79.90 Br.upf
ATOMIC_POSITIONS angstrom
K 0.000 0.000 0.000
K 6.463 2.049 -0.012
K 2.049 4.229 -0.012
K 3.298 1.117 3.367
K -1.117 3.298 3.367
Ag 0.000 0.000 3.378
Br 3.217 1.096 -0.011
Br 4.250 -2.129 3.367
Br 1.096 7.475 -0.011
Br 2.129 4.250 3.367
CELL_PARAMETERS angstrom
-5.346 5.346 3.379
5.346 -5.346 3.379
5.346 5.346 -3.379
```

As for the symmetry: No. 79. For the density of states at the Fermi level, the calculation gives 0.00 states/eV/cell.



# KAg2Br2

An optimized crystal structure of KAg2Br2 (GGA-PBE, Alexandria). Values from VASP.

Geometry as Quantum ESPRESSO input:
```
&SYSTEM
  ibrav = 0, nat = 5, ntyp = 3
/
ATOMIC_SPECIES
K 39.10 K.upf
Ag 107.87 Ag.upf
Br 79.90 Br.upf
ATOMIC_POSITIONS angstrom
K 0.000 0.000 0.000
Ag 0.000 0.000 3.742
Ag 0.000 0.000 6.469
Br 2.672 0.000 2.553
Br 0.000 2.672 2.553
CELL_PARAMETERS angstrom
-2.672 2.672 5.105
2.672 -2.672 5.105
2.672 2.672 -5.105
```

As for the symmetry: No. 139. For the density of states at the Fermi level, the calculation gives 3.32 states/eV/cell.



# KAgBr3

An optimized crystal structure of KAgBr3 (GGA-PBE, Alexandria). Values from VASP.

Geometry as Quantum ESPRESSO input:
```
&SYSTEM
  ibrav = 0, nat = 10, ntyp = 3
/
ATOMIC_SPECIES
K 39.10 K.upf
Ag 107.87 Ag.upf
Br 79.90 Br.upf
ATOMIC_POSITIONS angstrom
K 0.000 0.000 2.108
K 0.000 0.000 21.458
Ag 0.000 0.000 11.783
Ag 0.000 2.846 5.891
Br 2.846 0.000 0.294
Br 2.846 1.456 -3.635
Br 2.846 0.000 11.489
Br 0.000 1.390 8.148
Br 1.456 2.846 3.635
Br 1.390 0.000 15.418
CELL_PARAMETERS angstrom
-2.846 2.846 11.783
2.846 -2.846 11.783
2.846 2.846 -11.783
```

As for the symmetry: No. 119. For the density of states at the Fermi level, the calculation gives 1.11 states/eV/cell.



What did we get for E? Answer: -26.207 -34.662 -27.963 -28.628 -12.577 -25.576 eV/cell, in the order shown.
What did we get for raw formation energy? Answer: -0.827 -0.423 -0.885 -1.360 -0.486 -0.764 eV per atom, in the order shown.